DFT (GGA-PBE) results for crystalline HoPaSbTe at its relaxed geometry.

Output
DOS(E_F)	5.00	states/eV/f.u.
total magnetization	1.638	μB per formula unit
E_tot	-6.067	eV/atom
formation energy from raw total energies	-0.73	eV/atom

a b c (Å): 7.4988 7.4988 7.4988
angles (deg): 90.00 90.00 90.00
Space group F-43m (No. 216)
Asymmetric unit:
Ho 0.0000 0.0000 0.0000
Pa 0.0000 0.0000 0.5000
Sb 0.2500 0.2500 0.7500
Te 0.2500 0.2500 0.2500

DFT (GGA-PBE) results for crystalline HoTh2PaSb5 at its relaxed geometry.

Output
DOS(E_F)	9.19	states/eV/f.u.
total magnetization	0.963	μB per formula unit
E_tot	-5.531	eV/atom
formation energy from raw total energies	-0.03	eV/atom

a b c (Å): 5.2592 5.2592 11.5647
angles (deg): 90.00 90.00 90.00
Space group P4/mmm (No. 123)
Asymmetric unit:
Ho 0.0000 0.0000 0.0000
Th 0.5000 0.5000 0.1829
Pa 0.0000 0.0000 0.5000
Sb 0.0000 0.0000 0.2515
Sb 0.0000 0.5000 0.0000
Sb 0.5000 0.5000 0.5000

DFT (GGA-PBE) results for crystalline HoTh2PaSb4 at its relaxed geometry.

Output
DOS(E_F)	7.95	states/eV/f.u.
total magnetization	0.590	μB per formula unit
E_tot	-6.511	eV/atom
formation energy from raw total energies	-0.84	eV/atom

a b c (Å): 7.6788 4.4351 7.6887
angles (deg): 90.00 109.44 90.00
Space group P2/m (No. 10)
Asymmetric unit:
Ho 0.0000 0.0000 0.0000
Th 0.5000 0.0000 0.5000
Th 0.5000 0.5000 0.0000
Pa 0.0000 0.5000 0.5000
Sb 0.2391 0.0000 0.7476
Sb 0.2387 0.5000 0.2460